[1]
First-principles (GGA-PBE) data for NiTe4Ru after structural relaxation, as listed in Alexandria.

POSCAR file:
```
NiTe4Ru
1.0
6.428 0.000 0.000
0.000 6.490 0.000
-0.021 0.000 6.461
Ni Te Ru
2 8 2
Direct
0.000 0.000 0.000 Ni
0.000 0.500 0.500 Ni
0.130 0.133 0.372 Te
0.130 0.367 0.872 Te
0.371 0.630 0.370 Te
0.371 0.870 0.870 Te
0.629 0.130 0.130 Te
0.629 0.370 0.630 Te
0.870 0.633 0.128 Te
0.870 0.867 0.628 Te
0.500 0.000 0.500 Ru
0.500 0.500 0.000 Ru
```

Properties
The calculation puts the energy above the most stable polymorph in this dataset at 0 meV/atom. As for the formation energy from raw total energies: -21 kJ per mole of atoms.

---

[2]
First-principles (GGA-PBE) data for NbZnSn2Ru after structural relaxation, as listed in Alexandria.

POSCAR file:
```
NbZnSn2Ru
1.0
5.081 0.000 0.000
0.000 5.081 0.000
0.000 0.000 4.897
Nb Zn Sn Ru
1 1 2 1
Direct
0.000 0.000 0.000 Nb
0.500 0.500 0.000 Zn
0.000 0.500 0.500 Sn
0.500 0.000 0.500 Sn
0.000 0.000 0.500 Ru
```

Properties
The calculation puts the total energy at -5.117 eV per atom.

---

[3]
First-principles (GGA-PBE) data for HfWN2 after structural relaxation, as listed in Alexandria.

POSCAR file:
```
HfWN2
1.0
5.517 0.000 0.000
0.000 5.517 0.000
0.000 0.000 5.517
Hf W N
4 4 8
Direct
0.000 0.000 0.000 Hf
0.000 0.500 0.500 Hf
0.500 0.000 0.500 Hf
0.500 0.500 0.000 Hf
0.000 0.000 0.500 W
0.000 0.500 0.000 W
0.500 0.000 0.000 W
0.500 0.500 0.500 W
0.250 0.250 0.250 N
0.250 0.250 0.750 N
0.250 0.750 0.250 N
0.250 0.750 0.750 N
0.750 0.250 0.250 N
0.750 0.250 0.750 N
0.750 0.750 0.250 N
0.750 0.750 0.750 N
```

Properties
The calculation puts the energy above the most stable polymorph in this dataset at 378 meV/atom. As for the formation energy from raw total energies: -31 kJ per mole of atoms.

---

[4]
First-principles (GGA-PBE) data for ScNb2FeIr after structural relaxation, as listed in Alexandria.

POSCAR file:
```
ScNb2FeIr
1.0
4.660 0.000 0.000
0.000 4.660 0.000
0.000 0.000 4.556
Sc Nb Fe Ir
1 2 1 1
Direct
0.000 0.000 0.000 Sc
0.000 0.500 0.000 Nb
0.500 0.000 0.000 Nb
0.500 0.500 0.500 Fe
0.000 0.000 0.500 Ir
```

Properties
The calculation puts the energy above the most stable polymorph in this dataset at 1348 meV/atom.

---

no.,total magnetic moment (μB/atom)
1,0.00
2,0.29
3,0.00
4,0.02